No. 1
Compound: Ca2Al2TlPd5
Source: Alexandria via LeMat-Bulk
Functional: PBE
Structure: optimized geometry

Cell and atoms, written as CIF:
```
data_Ca2Al2TlPd5
_chemical_formula_sum 'Ca4 Al4 Tl2 Pd10'
_symmetry_space_group_name_H-M 'P 4/m b m'
_symmetry_Int_Tables_number 127
_symmetry_space_group_name_Hall '-P 4 2ab'
_cell_length_a 10.310
_cell_length_b 10.310
_cell_length_c 3.569
_cell_angle_alpha 90.00
_cell_angle_beta 90.00
_cell_angle_gamma 90.00
loop_
_atom_site_label
_atom_site_type_symbol
_atom_site_fract_x
_atom_site_fract_y
_atom_site_fract_z
Ca1 Ca 0.177 0.323 0.000
Al1 Al 0.121 0.621 0.000
Tl1 Tl 0.000 0.000 0.000
Pd1 Pd 0.000 0.500 0.500
Pd2 Pd 0.066 0.785 0.500
```

Results
- DFT formation energy (eV/f.u.) = -6.8
- magnetization (μB per cell) = 0.0
- V (Å³/f.u.) = 189.7

No. 2
Compound: Ta2TlAg
Source: Alexandria via LeMat-Bulk
Functional: PBE
Structure: optimized geometry

Cell and atoms, written as CIF:
```
data_Ta2TlAg
_chemical_formula_sum 'Ta2 Tl1 Ag1'
_symmetry_space_group_name_H-M 'P 1 2/m 1'
_symmetry_Int_Tables_number 10
_cell_length_a 2.931
_cell_length_b 4.515
_cell_length_c 5.747
_cell_angle_alpha 90.00
_cell_angle_beta 90.31
_cell_angle_gamma 90.00
loop_
_symmetry_equiv_pos_as_xyz
'x,y,z'
'-x,-y,-z'
'-x,y,-z'
'x,-y,z'
loop_
_atom_site_label
_atom_site_type_symbol
_atom_site_fract_x
_atom_site_fract_y
_atom_site_fract_z
Ta1 Ta 0.000 0.000 0.243
Tl1 Tl 0.500 0.500 0.500
Ag1 Ag 0.500 0.500 0.000
```

Results
- DFT formation energy (eV/f.u.) = 1.9
- magnetization (μB per cell) = 0.0
- V (Å³/f.u.) = 76.0

No. 3
Compound: Er4NpSb5
Source: Alexandria via LeMat-Bulk
Functional: PBE
Structure: optimized geometry

Cell and atoms, written as CIF:
```
data_Er4NpSb5
_chemical_formula_sum 'Er8 Np2 Sb10'
_symmetry_space_group_name_H-M 'I m m m'
_symmetry_Int_Tables_number 71
_symmetry_space_group_name_Hall '-I 2 2'
_cell_length_a 4.359
_cell_length_b 6.170
_cell_length_c 21.839
_cell_angle_alpha 90.00
_cell_angle_beta 90.00
_cell_angle_gamma 90.00
loop_
_atom_site_label
_atom_site_type_symbol
_atom_site_fract_x
_atom_site_fract_y
_atom_site_fract_z
Er1 Er 0.000 0.000 0.101
Er2 Er 0.000 0.000 0.298
Np1 Np 0.000 0.000 0.500
Sb1 Sb 0.000 0.500 0.101
Sb2 Sb 0.000 0.500 0.300
Sb3 Sb 0.000 0.500 0.500
```

Results
- magnetization (μB per cell) = 7.6
- ΔE_f (raw) (eV per atom) = -0.907
- V (Å³/f.u.) = 293.7

No. 4
Compound: MgSbAs2
Source: Alexandria via LeMat-Bulk
Functional: PBE
Structure: optimized geometry

Cell and atoms, written as CIF:
```
data_MgSbAs2
_chemical_formula_sum 'Mg1 Sb1 As2'
_symmetry_space_group_name_H-M 'P 4/m m m'
_symmetry_Int_Tables_number 123
_symmetry_space_group_name_Hall '-P 4 2'
_cell_length_a 3.648
_cell_length_b 3.648
_cell_length_c 6.479
_cell_angle_alpha 90.00
_cell_angle_beta 90.00
_cell_angle_gamma 90.00
loop_
_atom_site_label
_atom_site_type_symbol
_atom_site_fract_x
_atom_site_fract_y
_atom_site_fract_z
Mg1 Mg 0.000 0.000 0.000
Sb1 Sb 0.000 0.000 0.500
As1 As 0.500 0.500 0.206
```

Results
- magnetization (μB per cell) = 0.0
- ΔE_f (raw) (eV per atom) = 0.030
- energy above the most stable polymorph in this dataset (meV/atom) = 200
- V (Å³/f.u.) = 86.2

No. 5
Compound: LiOsRh
Source: Alexandria via LeMat-Bulk
Functional: PBE
Structure: optimized geometry

Cell and atoms, written as CIF:
```
data_LiOsRh
_chemical_formula_sum 'Li2 Os2 Rh2'
_symmetry_space_group_name_H-M 'P 1'
_symmetry_Int_Tables_number 1
_cell_length_a 2.721
_cell_length_b 5.261
_cell_length_c 6.278
_cell_angle_alpha 103.66
_cell_angle_beta 90.02
_cell_angle_gamma 104.90
loop_
_symmetry_equiv_pos_as_xyz
'x,y,z'
loop_
_atom_site_label
_atom_site_type_symbol
_atom_site_fract_x
_atom_site_fract_y
_atom_site_fract_z
Li1 Li 0.000 0.000 0.000
Li2 Li 0.347 0.694 0.657
Os1 Os 0.268 0.536 0.077
Os2 Os 0.671 0.343 0.346
Rh1 Rh 0.631 0.262 0.738
Rh2 Rh 0.955 0.910 0.375
```

Results
- DFT formation energy (eV/f.u.) = 0.1
- magnetization (μB per cell) = 0.0
- energy above the most stable polymorph in this dataset (meV/atom) = 34
- V (Å³/f.u.) = 42.1

No. 6
Compound: TiCoAs2Se
Source: Alexandria via LeMat-Bulk
Functional: PBE
Structure: optimized geometry

Cell and atoms, written as CIF:
```
data_TiCoAs2Se
_chemical_formula_sum 'Ti1 Co1 As2 Se1'
_symmetry_space_group_name_H-M 'P 4/m m m'
_symmetry_Int_Tables_number 123
_symmetry_space_group_name_Hall '-P 4 2'
_cell_length_a 4.863
_cell_length_b 4.863
_cell_length_c 4.854
_cell_angle_alpha 90.00
_cell_angle_beta 90.00
_cell_angle_gamma 90.00
loop_
_atom_site_label
_atom_site_type_symbol
_atom_site_fract_x
_atom_site_fract_y
_atom_site_fract_z
Ti1 Ti 0.000 0.000 0.000
Co1 Co 0.500 0.500 0.500
As1 As 0.000 0.500 0.000
Se1 Se 0.000 0.000 0.500
```

Results
- magnetization (μB per cell) = 2.2
- ΔE_f (raw) (eV per atom) = 0.543
- energy above the most stable polymorph in this dataset (meV/atom) = 217
- V (Å³/f.u.) = 114.8

No. 7
Compound: TmScRuPb
Source: Alexandria via LeMat-Bulk
Functional: PBE
Structure: optimized geometry

Cell and atoms, written as CIF:
```
data_TmScRuPb
_chemical_formula_sum 'Tm4 Sc4 Ru4 Pb4'
_symmetry_space_group_name_H-M 'F -4 3 m'
_symmetry_Int_Tables_number 216
_symmetry_space_group_name_Hall 'F -4 2 3'
_cell_length_a 6.997
_cell_length_b 6.997
_cell_length_c 6.997
_cell_angle_alpha 90.00
_cell_angle_beta 90.00
_cell_angle_gamma 90.00
loop_
_atom_site_label
_atom_site_type_symbol
_atom_site_fract_x
_atom_site_fract_y
_atom_site_fract_z
Tm1 Tm 0.000 0.000 0.000
Sc1 Sc 0.000 0.000 0.500
Ru1 Ru 0.250 0.250 0.250
Pb1 Pb 0.250 0.250 0.750
```

Results
- DFT formation energy (eV/f.u.) = -1.2
- magnetization (μB per cell) = 0.0
- energy above the most stable polymorph in this dataset (meV/atom) = 220
- V (Å³/f.u.) = 85.6

No. 8
Compound: NaSiGe2O6
Source: Alexandria via LeMat-Bulk
Functional: PBE
Structure: optimized geometry

Cell and atoms, written as CIF:
```
data_NaSiGe2O6
_chemical_formula_sum 'Na4 Si4 Ge8 O24'
_symmetry_space_group_name_H-M 'C 1 2/c 1'
_symmetry_Int_Tables_number 15
_cell_length_a 11.089
_cell_length_b 10.796
_cell_length_c 6.285
_cell_angle_alpha 90.00
_cell_angle_beta 124.00
_cell_angle_gamma 90.00
loop_
_symmetry_equiv_pos_as_xyz
'x,y,z'
'-x,-y,-z'
'-x,y,-z+1/2'
'x,-y,z+1/2'
'x+1/2,y+1/2,z'
'-x+1/2,-y+1/2,-z'
'-x+1/2,y+1/2,-z+1/2'
'x+1/2,-y+1/2,z+1/2'
loop_
_atom_site_label
_atom_site_type_symbol
_atom_site_fract_x
_atom_site_fract_y
_atom_site_fract_z
Na1 Na 0.000 0.224 0.250
Si1 Si 0.000 0.281 0.750
Ge1 Ge 0.229 0.068 0.793
O1 O 0.091 0.363 0.016
O2 O 0.107 0.200 0.700
O3 O 0.196 0.043 0.471
```

Results
- magnetization (μB per cell) = 0.0
- ΔE_f (raw) (eV per atom) = -1.882
- V (Å³/f.u.) = 156.0

Which formula does entry 8 have? NaSiGe2O6

What is the formula in the third record? Er4NpSb5

magnetization of number 2 (Ta2TlAg)? 0.0 μB per cell

Which of these has the highest V? Er4NpSb5